{"formula": "LaAl2SiNi2", "functional": "PBE-GGA", "state": "relaxed", "final_energy_ev_per_atom": -5.360, "spacegroup": "P4/mmm, No. 123", "raw_formation_energy_ev_per_atom": -0.4599, "dos_at_fermi_per_ev_fu": 3.68, "total_magnetization_mub_per_cell": 0.0, "lattice": [[4.3181, 0.0000, 0.0000], [0.0000, 4.3181, 0.0000], [0.0000, 0.0000, 5.7395]], "species": ["La", "Al", "Al", "Si", "Ni", "Ni"], "frac_coords": [[0.0000, 0.0000, 0.0000], [0.5000, 0.5000, 0.2513], [0.5000, 0.5000, 0.7487], [0.0000, 0.0000, 0.5000], [0.0000, 0.5000, 0.5000], [0.5000, 0.0000, 0.5000]]}

=====

{"formula": "La2AlSi4Ni3", "functional": "PBE-GGA", "state": "relaxed", "final_energy_ev_per_atom": -6.030, "spacegroup": "P-4m2, No. 115", "raw_formation_energy_ev_per_atom": -0.7666, "dos_at_fermi_per_ev_fu": 3.58, "total_magnetization_mub_per_cell": 0.0, "lattice": [[4.0912, 0.0000, 0.0000], [0.0000, 4.0912, 0.0000], [0.0000, 0.0000, 10.0387]], "species": ["La", "La", "Al", "Si", "Si", "Si", "Si", "Ni", "Ni", "Ni"], "frac_coords": [[0.0000, 0.5000, 0.2401], [0.5000, 0.0000, 0.7599], [0.0000, 0.0000, 0.5000], [0.0000, 0.0000, 0.0000], [0.0000, 0.5000, 0.6444], [0.5000, 0.0000, 0.3556], [0.5000, 0.5000, 0.0000], [0.0000, 0.5000, 0.8831], [0.5000, 0.0000, 0.1169], [0.5000, 0.5000, 0.5000]]}

=====

{"formula": "LaAlSiNi6", "functional": "PBE-GGA", "state": "relaxed", "final_energy_ev_per_atom": -5.691, "spacegroup": "Imma, No. 74", "raw_formation_energy_ev_per_atom": -0.2710, "dos_at_fermi_per_ev_fu": 6.89, "total_magnetization_mub_per_cell": 0.0, "lattice": [[-2.6333, 3.7104, 6.6489], [2.6333, -3.7104, 6.6489], [2.6333, 3.7104, -6.6489]], "species": ["La", "La", "Al", "Al", "Si", "Si", "Ni", "Ni", "Ni", "Ni", "Ni", "Ni", "Ni", "Ni", "Ni", "Ni", "Ni", "Ni"], "frac_coords": [[0.2544, 0.0044, 0.2500], [0.7456, 0.9956, 0.7500], [0.0000, 0.5000, 0.5000], [0.5000, 0.5000, 0.0000], [0.5000, 0.0000, 0.0000], [0.5000, 0.5000, 0.5000], [0.0020, 0.7520, 0.2500], [0.1357, 0.4027, 0.2237], [0.1357, 0.9120, 0.7330], [0.3210, 0.0880, 0.7237], [0.3210, 0.5973, 0.2330], [0.3627, 0.6127, 0.7500], [0.6373, 0.3873, 0.2500], [0.6790, 0.4027, 0.7670], [0.6790, 0.9120, 0.2763], [0.8643, 0.0880, 0.2670], [0.8643, 0.5973, 0.7763], [0.9980, 0.2480, 0.7500]]}

=====

{"formula": "SrLa2AlNi", "functional": "PBE-GGA", "state": "relaxed", "final_energy_ev_per_atom": -4.347, "spacegroup": "P4/mmm, No. 123", "dos_at_fermi_per_ev_fu": 5.29, "total_magnetization_mub_per_cell": 0.0, "delta_e_f_ev_per_atom": -0.135, "lattice": [[5.5562, 0.0000, 0.0000], [0.0000, 5.5562, 0.0000], [0.0000, 0.0000, 4.8832]], "species": ["Sr", "La", "La", "Al", "Ni"], "frac_coords": [[0.0000, 0.0000, 0.0000], [0.0000, 0.5000, 0.5000], [0.5000, 0.0000, 0.5000], [0.5000, 0.5000, 0.0000], [0.5000, 0.5000, 0.5000]]}

=====

{"formula": "LaTaAl2Ni", "functional": "PBE-GGA", "state": "relaxed", "final_energy_ev_per_atom": -5.634, "spacegroup": "P4/mmm, No. 123", "dos_at_fermi_per_ev_fu": 5.35, "total_magnetization_mub_per_cell": 0.0, "delta_e_f_ev_per_atom": 0.376, "lattice": [[4.5798, 0.0000, 0.0000], [0.0000, 4.5798, 0.0000], [0.0000, 0.0000, 5.0300]], "species": ["La", "Ta", "Al", "Al", "Ni"], "frac_coords": [[0.0000, 0.0000, 0.0000], [0.5000, 0.5000, 0.0000], [0.0000, 0.5000, 0.5000], [0.5000, 0.0000, 0.5000], [0.0000, 0.0000, 0.5000]]}

=====

{"formula": "La2AlTlNi", "functional": "PBE-GGA", "state": "relaxed", "final_energy_ev_per_atom": -4.709, "spacegroup": "P4/mmm, No. 123", "dos_at_fermi_per_ev_fu": 4.32, "total_magnetization_mub_per_cell": 0.0, "delta_e_f_ev_per_atom": -0.360, "lattice": [[5.4240, 0.0000, 0.0000], [0.0000, 5.4240, 0.0000], [0.0000, 0.0000, 4.6639]], "species": ["La", "La", "Al", "Tl", "Ni"], "frac_coords": [[0.0000, 0.5000, 0.0000], [0.5000, 0.0000, 0.0000], [0.0000, 0.0000, 0.5000], [0.5000, 0.5000, 0.5000], [0.0000, 0.0000, 0.0000]]}

=====

{"formula": "La2TmAl12Ni3", "functional": "PBE-GGA", "state": "relaxed", "final_energy_ev_per_atom": -4.303, "spacegroup": "R-3m, No. 166", "dos_at_fermi_per_ev_fu": 9.41, "total_magnetization_mub_per_cell": 0.0, "delta_e_f_ev_per_atom": -0.049, "lattice": [[4.2354, 2.4453, 6.2415], [-4.2354, 2.4453, 6.2415], [0.0000, -4.8907, 6.2415]], "species": ["La", "La", "Tm", "Al", "Al", "Al", "Al", "Al", "Al", "Al", "Al", "Al", "Al", "Al", "Al", "Ni", "Ni", "Ni"], "frac_coords": [[0.0803, 0.0803, 0.0803], [0.9197, 0.9197, 0.9197], [0.5000, 0.5000, 0.5000], [0.0315, 0.6628, 0.6628], [0.2224, 0.2224, 0.6057], [0.2224, 0.6057, 0.2224], [0.3372, 0.3372, 0.9685], [0.3372, 0.9685, 0.3372], [0.3943, 0.7776, 0.7776], [0.6057, 0.2224, 0.2224], [0.6628, 0.0315, 0.6628], [0.6628, 0.6628, 0.0315], [0.7776, 0.3943, 0.7776], [0.7776, 0.7776, 0.3943], [0.9685, 0.3372, 0.3372], [0.0000, 0.5000, 0.5000], [0.5000, 0.0000, 0.5000], [0.5000, 0.5000, 0.0000]]}

=====

{"formula": "LaYAlNi", "functional": "PBE-GGA", "state": "relaxed", "final_energy_ev_per_atom": -5.474, "spacegroup": "F-43m, No. 216", "dos_at_fermi_per_ev_fu": 3.72, "total_magnetization_mub_per_cell": 0.0, "delta_e_f_ev_per_atom": -0.245, "lattice": [[0.0000, 3.6191, 3.6191], [3.6191, 0.0000, 3.6191], [3.6191, 3.6191, 0.0000]], "species": ["La", "Y", "Al", "Ni"], "frac_coords": [[0.0000, 0.0000, 0.0000], [0.5000, 0.5000, 0.5000], [0.7500, 0.7500, 0.7500], [0.2500, 0.2500, 0.2500]]}

=====

{"formula": "LaAlZnNi3", "functional": "PBE-GGA", "state": "relaxed", "final_energy_ev_per_atom": -4.762, "spacegroup": "Cmcm, No. 63", "dos_at_fermi_per_ev_fu": 3.21, "total_magnetization_mub_per_cell": 0.0, "delta_e_f_ev_per_atom": -0.214, "lattice": [[2.7149, -6.3206, 0.0000], [2.7149, 6.3206, 0.0000], [0.0000, 0.0000, 5.7861]], "species": ["La", "La", "Al", "Al", "Zn", "Zn", "Ni", "Ni", "Ni", "Ni", "Ni", "Ni"], "frac_coords": [[0.1843, 0.8157, 0.7500], [0.8157, 0.1843, 0.2500], [0.4224, 0.5776, 0.7500], [0.5776, 0.4224, 0.2500], [0.1398, 0.8602, 0.2500], [0.8602, 0.1398, 0.7500], [0.2222, 0.2222, 0.0000], [0.2222, 0.2222, 0.5000], [0.3600, 0.6400, 0.2500], [0.6400, 0.3600, 0.7500], [0.7778, 0.7778, 0.0000], [0.7778, 0.7778, 0.5000]]}

=====

{"formula": "La2Al3ZnNi12", "functional": "PBE-GGA", "state": "relaxed", "final_energy_ev_per_atom": -5.144, "spacegroup": "R-3m, No. 166", "dos_at_fermi_per_ev_fu": 13.25, "total_magnetization_mub_per_cell": 0.0, "delta_e_f_ev_per_atom": -0.048, "lattice": [[3.0646, 1.7693, 8.4622], [-3.0646, 1.7693, 8.4622], [0.0000, -3.5387, 8.4622]], "species": ["La", "La", "Al", "Al", "Al", "Zn", "Ni", "Ni", "Ni", "Ni", "Ni", "Ni", "Ni", "Ni", "Ni", "Ni", "Ni", "Ni"], "frac_coords": [[0.1595, 0.1595, 0.1595], [0.8405, 0.8405, 0.8405], [0.0000, 0.5000, 0.5000], [0.5000, 0.0000, 0.5000], [0.5000, 0.5000, 0.0000], [0.5000, 0.5000, 0.5000], [0.0811, 0.0811, 0.6897], [0.0811, 0.6897, 0.0811], [0.1527, 0.5641, 0.5641], [0.3103, 0.9189, 0.9189], [0.4358, 0.4359, 0.8473], [0.4358, 0.8473, 0.4358], [0.5641, 0.1527, 0.5641], [0.5641, 0.5641, 0.1527], [0.6897, 0.0811, 0.0811], [0.8473, 0.4359, 0.4359], [0.9189, 0.3103, 0.9189], [0.9189, 0.9189, 0.3103]]}

=====

{"formula": "LaAlZn2Ni2", "functional": "PBE-GGA", "state": "relaxed", "final_energy_ev_per_atom": -3.936, "spacegroup": "P4/mmm, No. 123", "dos_at_fermi_per_ev_fu": 3.40, "total_magnetization_mub_per_cell": 0.0, "delta_e_f_ev_per_atom": -0.139, "lattice": [[4.3847, 0.0000, 0.0000], [0.0000, 4.3847, 0.0000], [0.0000, 0.0000, 5.8505]], "species": ["La", "Al", "Zn", "Zn", "Ni", "Ni"], "frac_coords": [[0.0000, 0.0000, 0.0000], [0.0000, 0.0000, 0.5000], [0.5000, 0.5000, 0.2590], [0.5000, 0.5000, 0.7410], [0.0000, 0.5000, 0.5000], [0.5000, 0.0000, 0.5000]]}